1.
First-principles (GGA-PBE) data for YEr2 after structural relaxation, as listed in the Open Quantum Materials Database.

Cell: 10.186 10.186 10.186 Å, 60.00 60.00 60.00°
Last column: magnetic moment on the atom in μB.
Element x y z (fractional)
Er: 0.375 0.375 0.375  0.86
Er: 0.875 0.375 0.375  0.99
Er: 0.375 0.875 0.375  0.86
Er: 0.375 0.375 0.875  0.83
Y: 0.250 0.250 0.250  0.98
Y: 0.500 0.500 0.500  0.98

Summary:
Formation enthalpy at 0 K, eV/atom: 2.508
Polymorph energy (0 for the lowest one), eV per atom: 2.269

***

2.
First-principles (GGA-PBE) data for LiZrGa2 after structural relaxation, as listed in the Open Quantum Materials Database.

Cell: 4.586 4.586 4.586 Å, 60.00 60.00 60.00°
Element x y z (fractional)
Ga: 0.000 0.000 0.000
Ga: 0.750 0.750 0.750
Li: 0.500 0.500 0.500
Zr: 0.250 0.250 0.250

Summary:
E_tot, eV/atom: -4.201

***

3.
First-principles (GGA-PBE) data for Tb3Ag2Hg3Au after structural relaxation, as listed in the Open Quantum Materials Database.

Cell: 7.931 7.931 3.836 Å, 90.00 90.00 120.00°
Element x y z (fractional)
Ag: 0.667 0.333 0.500
Ag: 0.333 0.667 0.500
Au: 0.000 0.000 0.000
Hg: 0.279 0.000 0.500
Hg: 0.000 0.279 0.500
Hg: 0.721 0.721 0.500
Tb: 0.611 0.000 0.000
Tb: 0.389 0.389 0.000
Tb: 0.000 0.611 0.000

Summary:
Formation enthalpy at 0 K, eV/atom: -0.438

***

4.
First-principles (GGA-PBE) data for SmAsIrO after structural relaxation, as listed in the Open Quantum Materials Database.

Cell: 4.478 4.132 7.387 Å, 90.00 90.00 90.00°
Element x y z (fractional)
As: 0.000 0.752 0.266
As: 0.000 0.248 0.766
Ir: 0.000 0.252 0.438
Ir: 0.000 0.748 0.938
O: 0.500 0.251 0.440
O: 0.500 0.749 0.940
Sm: 0.500 0.249 0.109
Sm: 0.500 0.751 0.609

Summary:
E_tot, eV/atom: -7.090

***

5.
First-principles (GGA-PBE) data for RbZn after structural relaxation, as listed in the Open Quantum Materials Database.

Cell: 10.090 8.011 6.546 Å, 90.00 90.00 98.87°
Element x y z (fractional)
Rb: 0.815 0.222 0.000
Rb: 0.273 0.309 0.000
Rb: 0.668 0.727 0.000
Rb: 0.555 0.328 0.500
Rb: 0.950 0.746 0.500
Rb: 0.407 0.834 0.500
Zn: 0.041 0.603 0.000
Zn: 0.273 0.808 0.000
Zn: 0.045 0.930 0.000
Zn: 0.177 0.125 0.500
Zn: 0.950 0.248 0.500
Zn: 0.181 0.452 0.500

Summary:
E_tot, eV/atom: -0.896

***

6.
First-principles (GGA-PBE) data for Dy2Tl2O5 after structural relaxation, as listed in the Open Quantum Materials Database.

Cell: 7.042 4.313 4.313 Å, 90.00 90.00 90.00°
Element x y z (fractional)
Dy: 0.000 0.000 0.000
Dy: 0.500 0.000 0.000
O: 0.247 0.500 0.000
O: 0.753 0.500 0.000
O: 0.247 0.000 0.500
O: 0.753 0.000 0.500
O: 0.500 0.500 0.500
Tl: 0.193 0.500 0.500
Tl: 0.807 0.500 0.500

Summary:
Polymorph energy (0 for the lowest one), eV per atom: 0.768

***

7.
First-principles (GGA-PBE) data for Er2Mg2O5 after structural relaxation, as listed in the Open Quantum Materials Database.

Cell: 8.110 4.036 4.036 Å, 90.00 90.00 90.00°
Element x y z (fractional)
Er: 0.235 0.500 0.500
Er: 0.765 0.500 0.500
Mg: 0.000 0.000 0.000
Mg: 0.500 0.000 0.000
O: 0.160 0.500 0.000
O: 0.840 0.500 0.000
O: 0.160 0.000 0.500
O: 0.840 0.000 0.500
O: 0.500 0.500 0.500

Summary:
E_tot, eV/atom: -6.492

***

8.
First-principles (GGA-PBE) data for TlAsW4N2 after structural relaxation, as listed in the Open Quantum Materials Database.

Cell: 2.964 2.964 14.564 Å, 90.00 90.00 120.00°
Element x y z (fractional)
As: 0.000 0.000 0.000
N: 0.333 0.667 0.235
N: 0.333 0.667 0.765
Tl: 0.667 0.333 0.500
W: 0.667 0.333 0.139
W: 0.000 0.000 0.328
W: 0.000 0.000 0.672
W: 0.667 0.333 0.861

Summary:
E_tot, eV/atom: -9.003

***

9.
First-principles (GGA-PBE) data for SmYAgS3 after structural relaxation, as listed in the Open Quantum Materials Database.

Cell: 8.770 8.770 8.181 Å, 102.36 102.36 25.07°
Element x y z (fractional)
Ag: 0.471 0.471 0.283
Ag: 0.529 0.529 0.717
S: 0.500 0.500 0.000
S: 0.314 0.314 0.153
S: 0.671 0.671 0.346
S: 0.000 0.000 0.500
S: 0.329 0.329 0.654
S: 0.686 0.686 0.847
Sm: 0.135 0.135 0.073
Sm: 0.865 0.865 0.927
Y: 0.836 0.836 0.409
Y: 0.164 0.164 0.591

Summary:
Polymorph energy (0 for the lowest one), eV per atom: 0.008

***

10.
First-principles (GGA-PBE) data for NpCu after structural relaxation, as listed in the Open Quantum Materials Database.

Cell: 2.656 2.656 5.239 Å, 90.00 90.00 120.00°
Element x y z (fractional)
Cu: 0.667 0.333 0.750
Np: 0.333 0.667 0.250

Summary:
Formation enthalpy at 0 K, eV/atom: 0.278

***

11.
First-principles (GGA-PBE) data for SrLuTeAuSe2 after structural relaxation, as listed in the Open Quantum Materials Database.

Cell: 7.541 7.541 10.886 Å, 90.00 90.00 148.36°
Element x y z (fractional)
Au: 0.529 0.471 0.250
Au: 0.471 0.529 0.750
Lu: 0.000 0.000 0.000
Lu: 0.000 0.000 0.500
Se: 0.633 0.367 0.054
Se: 0.633 0.367 0.446
Se: 0.367 0.633 0.554
Se: 0.367 0.633 0.946
Sr: 0.217 0.783 0.250
Sr: 0.783 0.217 0.750
Te: 0.899 0.101 0.250
Te: 0.101 0.899 0.750

Summary:
E_tot, eV/atom: -4.587

***

12.
First-principles (GGA-PBE) data for TaTc2Ge after structural relaxation, as listed in the Open Quantum Materials Database.

Cell: 4.444 4.444 4.444 Å, 60.00 60.00 60.00°
Last column: magnetic moment on the atom in μB.
Element x y z (fractional)
Ge: 0.500 0.500 0.500  0.01
Ta: 0.250 0.250 0.250  -0.04
Tc: 0.000 0.000 0.000  0.28
Tc: 0.750 0.750 0.750  0.02

Summary:
E_tot, eV/atom: -9.168

***

13.
First-principles (GGA-PBE) data for Cu2Ag3 after structural relaxation, as listed in the Open Quantum Materials Database.

Cell: 2.874 2.874 18.706 Å, 90.00 90.00 90.00°
Element x y z (fractional)
Ag: 0.500 0.500 0.073
Ag: 0.000 0.000 0.187
Ag: 0.500 0.500 0.300
Ag: 0.000 0.000 0.413
Ag: 0.000 0.000 0.606
Ag: 0.500 0.500 0.721
Cu: 0.500 0.500 0.509
Cu: 0.000 0.000 0.819
Cu: 0.500 0.500 0.897
Cu: 0.000 0.000 0.976

Summary:
Formation enthalpy at 0 K, eV/atom: 0.050
Polymorph energy (0 for the lowest one), eV per atom: 0.018

***

14.
First-principles (GGA-PBE) data for Hg2Br3Cl after structural relaxation, as listed in the Open Quantum Materials Database.

Cell: 4.200 4.266 12.076 Å, 90.00 90.00 90.00°
Element x y z (fractional)
Br: 0.500 0.000 0.131
Br: 0.000 0.500 0.363
Br: 0.500 0.000 0.636
Cl: 0.000 0.500 0.874
Hg: 0.000 0.000 0.499
Hg: 0.500 0.500 0.997

Summary:
E_tot, eV/atom: -1.708

***

15.
First-principles (GGA-PBE) data for YCdCoAs after structural relaxation, as listed in the Open Quantum Materials Database.

Cell: 4.760 4.760 4.760 Å, 60.00 60.00 60.00°
Element x y z (fractional)
As: 0.000 0.000 0.000
Cd: 0.500 0.500 0.500
Co: 0.750 0.750 0.750
Y: 0.250 0.250 0.250

Summary:
Polymorph energy (0 for the lowest one), eV per atom: 0.000

***

16.
First-principles (GGA-PBE) data for LiFeAsPb after structural relaxation, as listed in the Open Quantum Materials Database.

Cell: 4.764 4.764 4.764 Å, 60.00 60.00 60.00°
Element x y z (fractional)
As: 0.250 0.250 0.250
Fe: 0.000 0.000 0.000
Li: 0.750 0.750 0.750
Pb: 0.500 0.500 0.500

Summary:
Polymorph energy (0 for the lowest one), eV per atom: 0.225

***

17.
First-principles (GGA-PBE) data for Sm2OF2 after structural relaxation, as listed in the Open Quantum Materials Database.

Cell: 7.896 7.896 5.545 Å, 90.00 90.00 90.00°
Element x y z (fractional)
F: 0.501 0.001 0.250
F: 0.999 0.001 0.250
F: 0.501 0.499 0.250
F: 0.999 0.499 0.250
F: 0.001 0.501 0.750
F: 0.499 0.501 0.750
F: 0.001 0.999 0.750
F: 0.499 0.999 0.750
O: 0.750 0.750 0.249
O: 0.250 0.250 0.251
O: 0.750 0.750 0.749
O: 0.250 0.250 0.751
Sm: 0.250 0.016 0.002
Sm: 0.250 0.484 0.002
Sm: 0.516 0.750 0.498
Sm: 0.984 0.750 0.498
Sm: 0.016 0.250 0.502
Sm: 0.484 0.250 0.502
Sm: 0.750 0.516 0.998
Sm: 0.750 0.984 0.998

Summary:
Polymorph energy (0 for the lowest one), eV per atom: 0.015

***

18.
First-principles (GGA-PBE) data for PaHgO3 after structural relaxation, as listed in the Open Quantum Materials Database.

Cell: 5.699 6.204 8.868 Å, 90.00 90.00 90.00°
Last column: magnetic moment on the atom in μB.
Element x y z (fractional)
Hg: 0.500 0.000 0.000  0.01
Hg: 0.000 0.500 0.000  0.01
Hg: 0.500 0.000 0.500  0.01
Hg: 0.000 0.500 0.500  0.01
O: 0.712 0.338 0.093  -0.01
O: 0.788 0.838 0.093  -0.01
O: 0.224 0.367 0.250  -0.02
O: 0.276 0.867 0.250  -0.02
O: 0.712 0.338 0.407  -0.01
O: 0.788 0.838 0.407  -0.01
O: 0.212 0.162 0.593  -0.01
O: 0.288 0.662 0.593  -0.01
O: 0.724 0.133 0.750  -0.02
O: 0.776 0.633 0.750  -0.02
O: 0.212 0.162 0.907  -0.01
O: 0.288 0.662 0.907  -0.01
Pa: 0.969 0.085 0.250  1.00
Pa: 0.531 0.585 0.250  1.00
Pa: 0.469 0.415 0.750  1.00
Pa: 0.031 0.915 0.750  1.00

Summary:
E_tot, eV/atom: -6.600

***

19.
First-principles (GGA-PBE) data for TbHgAsO after structural relaxation, as listed in the Open Quantum Materials Database.

Cell: 4.466 6.017 6.525 Å, 90.00 90.00 90.00°
Element x y z (fractional)
As: 0.000 0.760 0.367
As: 0.000 0.240 0.867
Hg: 0.500 0.284 0.052
Hg: 0.500 0.716 0.552
O: 0.500 0.273 0.411
O: 0.500 0.727 0.911
Tb: 0.000 0.253 0.423
Tb: 0.000 0.747 0.923

Summary:
Polymorph energy (0 for the lowest one), eV per atom: 0.269

***

20.
First-principles (GGA-PBE) data for PrSbTe3Pb after structural relaxation, as listed in the Open Quantum Materials Database.

Cell: 8.415 8.415 10.949 Å, 90.00 90.00 150.91°
Element x y z (fractional)
Pb: 0.210 0.790 0.250
Pb: 0.790 0.210 0.750
Pr: 0.000 0.000 0.000
Pr: 0.000 0.000 0.500
Sb: 0.513 0.487 0.250
Sb: 0.487 0.513 0.750
Te: 0.654 0.346 0.034
Te: 0.878 0.122 0.250
Te: 0.654 0.346 0.466
Te: 0.346 0.654 0.534
Te: 0.122 0.878 0.750
Te: 0.346 0.654 0.966

Summary:
E_tot, eV/atom: -4.202

***

Volume? In order: 124.6 17.1 23.2 17.1 43.6 14.6 14.7 13.8 21.7 16.0 27.1 15.5 15.5 36.1 19.1 19.1 17.3 15.7 21.9 31.4 Å³ per atom.